{"formula": "CdCoSeO", "functional": "GGA+U", "state": "optimized geometry", "e_tot_ev_per_atom": -4.1546, "spacegroup": "Cmc2_1 (36)", "cell": [[3.459, 0.000, 0.000], [0.000, 13.327, 0.000], [0.000, 0.000, 6.228]], "species": ["Cd", "Cd", "Cd", "Cd", "Co", "Co", "Co", "Co", "Se", "Se", "Se", "Se", "O", "O", "O", "O"], "fractional_positions": [[0.000, 0.058, 0.000], [0.000, 0.942, 0.500], [0.500, 0.442, 0.500], [0.500, 0.558, 0.000], [0.000, 0.330, 0.908], [0.000, 0.670, 0.408], [0.500, 0.170, 0.408], [0.500, 0.830, 0.908], [0.000, 0.314, 0.311], [0.000, 0.686, 0.811], [0.500, 0.186, 0.811], [0.500, 0.814, 0.311], [0.000, 0.090, 0.348], [0.000, 0.910, 0.848], [0.500, 0.410, 0.848], [0.500, 0.590, 0.348]]}